[1]
A plane-wave DFT calculation with PBE-GGA was carried out for a relaxed structure of CeSb2Pb.

Properties
ρ: 8.12 Mg/m³
E_form (uncorrected): 59 kJ/mol of formula units
energy: -4.319 eV per atom
energy relative to the lowest polymorph listed for this composition: 688 meV/atom

Geometry as CIF:
```
data_CeSb2Pb
_cell_length_a 3.3574
_cell_length_b 3.3574
_cell_length_c 37.1499
_cell_angle_alpha 90.00
_cell_angle_beta 90.00
_cell_angle_gamma 120.00
_symmetry_space_group_name_H-M 'R -3 m'
_symmetry_Int_Tables_number 166
_symmetry_space_group_name_Hall '-R 3 2"'
loop_
_atom_site_label
_atom_site_type_symbol
_atom_site_fract_x
_atom_site_fract_y
_atom_site_fract_z
Ce1 Ce 0.0000 0.0000 0.0000
Sb1 Sb 0.0000 0.0000 0.0859
Pb1 Pb 0.0000 0.0000 0.5000
```


[2]
A plane-wave DFT calculation with PBE-GGA was carried out for a relaxed structure of Ce3Sb2Pb.

Properties
ρ: 6.47 Mg/m³
E_form (uncorrected): -319 kJ/mol of formula units
energy: -5.510 eV per atom
energy relative to the lowest polymorph listed for this composition: 242 meV/atom

Geometry as CIF:
```
data_Ce3Sb2Pb
_cell_length_a 6.3464
_cell_length_b 14.9708
_cell_length_c 4.7049
_cell_angle_alpha 90.00
_cell_angle_beta 90.00
_cell_angle_gamma 90.00
_symmetry_space_group_name_H-M 'C m m m'
_symmetry_Int_Tables_number 65
_symmetry_space_group_name_Hall '-C 2 2'
loop_
_atom_site_label
_atom_site_type_symbol
_atom_site_fract_x
_atom_site_fract_y
_atom_site_fract_z
Ce1 Ce 0.0000 0.0000 0.0000
Ce2 Ce 0.0000 0.3548 0.5000
Sb1 Sb 0.0000 0.1463 0.5000
Pb1 Pb 0.0000 0.5000 0.0000
```


[3]
A plane-wave DFT calculation with PBE-GGA was carried out for a relaxed structure of Ce8SbPb2.

Properties
ρ: 8.41 Mg/m³
E_form (uncorrected): -265 kJ/mol of formula units
energy: -5.614 eV per atom

Geometry as CIF:
```
data_Ce8SbPb2
_cell_length_a 8.6039
_cell_length_b 14.2514
_cell_length_c 5.8131
_cell_angle_alpha 90.00
_cell_angle_beta 113.30
_cell_angle_gamma 90.00
_symmetry_space_group_name_H-M 'C 1 2/m 1'
_symmetry_Int_Tables_number 12
loop_
_symmetry_equiv_pos_as_xyz
'x,y,z'
'-x,-y,-z'
'-x,y,-z'
'x,-y,z'
'x+1/2,y+1/2,z'
'-x+1/2,-y+1/2,-z'
'-x+1/2,y+1/2,-z'
'x+1/2,-y+1/2,z'
loop_
_atom_site_label
_atom_site_type_symbol
_atom_site_fract_x
_atom_site_fract_y
_atom_site_fract_z
Ce1 Ce 0.0000 0.2268 0.0000
Ce2 Ce 0.0948 0.5000 0.8585
Ce3 Ce 0.1778 0.0942 0.5934
Sb1 Sb 0.0000 0.0000 0.0000
Pb1 Pb 0.0000 0.3111 0.5000
```


[4]
A plane-wave DFT calculation with PBE-GGA was carried out for a relaxed structure of Ce6SbPb3.

Properties
ρ: 9.04 Mg/m³
E_form (uncorrected): -298 kJ/mol of formula units
energy: -5.394 eV per atom

Geometry as CIF:
```
data_Ce6SbPb3
_cell_length_a 6.1570
_cell_length_b 8.7712
_cell_length_c 12.3088
_cell_angle_alpha 90.00
_cell_angle_beta 118.95
_cell_angle_gamma 90.00
_symmetry_space_group_name_H-M 'P 1 21/c 1'
_symmetry_Int_Tables_number 14
loop_
_symmetry_equiv_pos_as_xyz
'x,y,z'
'-x,-y,-z'
'-x,y+1/2,-z+1/2'
'x,-y+1/2,z+1/2'
loop_
_atom_site_label
_atom_site_type_symbol
_atom_site_fract_x
_atom_site_fract_y
_atom_site_fract_z
Ce1 Ce 0.0243 0.0622 0.2473
Ce2 Ce 0.0849 0.6427 0.0625
Ce3 Ce 0.4700 0.6369 0.4400
Sb1 Sb 0.0000 0.0000 0.0000
Pb1 Pb 0.4048 0.1505 0.7472
Pb2 Pb 0.5000 0.0000 0.5000
```


[5]
A plane-wave DFT calculation with PBE-GGA was carried out for a relaxed structure of Ce3Sb2Pb.

Properties
ρ: 7.40 Mg/m³
E_form (uncorrected): -459 kJ/mol of formula units
energy: -5.752 eV per atom
energy relative to the lowest polymorph listed for this composition: 0 meV/atom

Geometry as CIF:
```
data_Ce3Sb2Pb
_cell_length_a 7.8242
_cell_length_b 13.5475
_cell_length_c 7.8237
_cell_angle_alpha 90.00
_cell_angle_beta 109.47
_cell_angle_gamma 90.00
_symmetry_space_group_name_H-M 'C 1 2/m 1'
_symmetry_Int_Tables_number 12
loop_
_symmetry_equiv_pos_as_xyz
'x,y,z'
'-x,-y,-z'
'-x,y,-z'
'x,-y,z'
'x+1/2,y+1/2,z'
'-x+1/2,-y+1/2,-z'
'-x+1/2,y+1/2,-z'
'x+1/2,-y+1/2,z'
loop_
_atom_site_label
_atom_site_type_symbol
_atom_site_fract_x
_atom_site_fract_y
_atom_site_fract_z
Ce1 Ce 0.2466 0.0000 0.2478
Ce2 Ce 0.2495 0.1653 0.7524
Sb1 Sb 0.0000 0.0000 0.5000
Sb2 Sb 0.0000 0.1670 0.0000
Sb3 Sb 0.0000 0.5000 0.0000
Pb1 Pb 0.0000 0.3333 0.5000
```


[6]
A plane-wave DFT calculation with PBE-GGA was carried out for a relaxed structure of Ce4Sb3Pb.

Properties
ρ: 7.23 Mg/m³
E_form (uncorrected): -660 kJ/mol of formula units
energy: -5.832 eV per atom

Geometry as CIF:
```
data_Ce4Sb3Pb
_cell_length_a 6.3833
_cell_length_b 6.3833
_cell_length_c 6.3833
_cell_angle_alpha 90.00
_cell_angle_beta 90.00
_cell_angle_gamma 90.00
_symmetry_space_group_name_H-M 'P m -3 m'
_symmetry_Int_Tables_number 221
_symmetry_space_group_name_Hall '-P 4 2 3'
loop_
_atom_site_label
_atom_site_type_symbol
_atom_site_fract_x
_atom_site_fract_y
_atom_site_fract_z
Ce1 Ce 0.0000 0.0000 0.0000
Ce2 Ce 0.0000 0.5000 0.5000
Sb1 Sb 0.0000 0.0000 0.5000
Pb1 Pb 0.5000 0.5000 0.5000
```